Compound: FeHN
Source: the Alexandria database
Functional: GGA-PBE
Structure: relaxed

The calculation puts the excess energy over the best structure of this formula in the dataset at 0.0000 eV/atom. Its space-group type is P4/nmm, No. 129.

Lattice parameters (Å, degrees): 3.371 3.371 4.406 90.00 90.00 90.00
Fractional positions:
Fe 0.250 0.750 0.000
Fe 0.750 0.250 0.000
H 0.250 0.250 0.446
H 0.750 0.750 0.554
N 0.250 0.250 0.212
N 0.750 0.750 0.788

***

Compound: BaReTcOs2
Source: the Alexandria database
Functional: GGA-PBE
Structure: relaxed

Its space-group type is P4/mmm, No. 123.

Lattice parameters (Å, degrees): 4.859 4.859 4.787 90.00 90.00 90.00
Fractional positions:
Ba 0.000 0.000 0.000
Re 0.500 0.500 0.500
Tc 0.000 0.000 0.500
Os 0.000 0.500 0.000
Os 0.500 0.000 0.000

***

Let's list DFT total energy in order: -6.7592, -5.3268 eV per atom.